A plane-wave DFT calculation with PBE was carried out for a geometry-optimized Ac3Cd5S12 structure.

Cell lengths 14.0518, 14.0518, 14.0518 Å; angles 109.47, 109.47, 109.47 degrees
With the nearest neighbours (Å) after each atom.
Sites, in units of the cell vectors:
Ac 0.1250 0.2500 0.3750  8 S 3.07-3.08
Ac 0.1250 0.3750 0.7500  8 S 3.07-3.08
Ac 0.2500 0.3750 0.1250  8 S 3.07-3.08
Ac 0.2500 0.8750 0.6250  8 S 3.07-3.08
Ac 0.3750 0.1250 0.2500  8 S 3.07-3.08
Ac 0.3750 0.7500 0.1250  8 S 3.07-3.08
Ac 0.6250 0.2500 0.8750  8 S 3.07-3.08
Ac 0.6250 0.8750 0.7500  8 S 3.07-3.08
Ac 0.7500 0.1250 0.3750  8 S 3.07-3.08
Ac 0.7500 0.6250 0.8750  8 S 3.07-3.08
Ac 0.8750 0.6250 0.2500  8 S 3.07-3.08
Ac 0.8750 0.7500 0.6250  8 S 3.07-3.08
Cd 0.0000 0.0000 0.0000  6 S 2.68
Cd 0.0000 0.0000 0.5000  6 S 2.68
Cd 0.0000 0.5000 0.0000  6 S 2.68
Cd 0.0000 0.5000 0.5000  6 S 2.68
Cd 0.1250 0.7500 0.8750  4 S 2.53
Cd 0.1250 0.8750 0.2500  4 S 2.53
Cd 0.2500 0.1250 0.8750  4 S 2.53
Cd 0.2500 0.6250 0.3750  4 S 2.53
Cd 0.3750 0.2500 0.6250  4 S 2.53
Cd 0.3750 0.6250 0.7500  4 S 2.53
Cd 0.5000 0.0000 0.0000  6 S 2.68
Cd 0.5000 0.0000 0.5000  6 S 2.68
Cd 0.5000 0.5000 0.0000  6 S 2.68
Cd 0.5000 0.5000 0.5000  6 S 2.68
Cd 0.6250 0.3750 0.2500  4 S 2.53
Cd 0.6250 0.7500 0.3750  4 S 2.53
Cd 0.7500 0.3750 0.6250  4 S 2.53
Cd 0.7500 0.8750 0.1250  4 S 2.53
Cd 0.8750 0.1250 0.7500  4 S 2.53
Cd 0.8750 0.2500 0.1250  4 S 2.53
S 0.0406 0.2144 0.1279  2 Cd 2.53-2.68
S 0.0406 0.3262 0.9127  2 Cd 2.53-2.68
S 0.0865 0.7144 0.6738  2 Cd 2.53-2.68
S 0.0865 0.8721 0.4127  2 Cd 2.53-2.68
S 0.0873 0.6279 0.4135  2 Cd 2.53-2.68
S 0.0873 0.9594 0.6738  2 Cd 2.53-2.68
S 0.1279 0.0406 0.2144  2 Cd 2.53-2.68
S 0.1279 0.5873 0.9135  2 Cd 2.53-2.68
S 0.1738 0.2144 0.5865  2 Cd 2.53-2.68
S 0.1738 0.4594 0.5873  2 Cd 2.53-2.68
S 0.2144 0.1279 0.0406  2 Cd 2.53-2.68
S 0.2144 0.5865 0.1738  2 Cd 2.53-2.68
S 0.2856 0.3262 0.9135  2 Cd 2.53-2.68
S 0.2856 0.4594 0.3721  2 Cd 2.53-2.68
S 0.3262 0.9127 0.0406  2 Cd 2.53-2.68
S 0.3262 0.9135 0.2856  2 Cd 2.53-2.68
S 0.3721 0.2856 0.4594  2 Cd 2.53-2.68
S 0.3721 0.5865 0.9127  2 Cd 2.53-2.68
S 0.4127 0.0865 0.8721  2 Cd 2.53-2.68
S 0.4127 0.8262 0.5406  2 Cd 2.53-2.68
S 0.4135 0.0873 0.6279  2 Cd 2.53-2.68
S 0.4135 0.8262 0.7856  2 Cd 2.53-2.68
S 0.4594 0.3721 0.2856  2 Cd 2.53-2.68
S 0.4594 0.5873 0.1738  2 Cd 2.53-2.68
S 0.5406 0.4127 0.8262  2 Cd 2.53-2.68
S 0.5406 0.6279 0.7144  2 Cd 2.53-2.68
S 0.5865 0.1738 0.2144  2 Cd 2.53-2.68
S 0.5865 0.9127 0.3721  2 Cd 2.53-2.68
S 0.5873 0.1738 0.4594  2 Cd 2.53-2.68
S 0.5873 0.9135 0.1279  2 Cd 2.53-2.68
S 0.6279 0.4135 0.0873  2 Cd 2.53-2.68
S 0.6279 0.7144 0.5406  2 Cd 2.53-2.68
S 0.6738 0.0865 0.7144  2 Cd 2.53-2.68
S 0.6738 0.0873 0.9594  2 Cd 2.53-2.68
S 0.7144 0.5406 0.6279  2 Cd 2.53-2.68
S 0.7144 0.6738 0.0865  2 Cd 2.53-2.68
S 0.7856 0.4135 0.8262  2 Cd 2.53-2.68
S 0.7856 0.8721 0.9594  2 Cd 2.53-2.68
S 0.8262 0.5406 0.4127  2 Cd 2.53-2.68
S 0.8262 0.7856 0.4135  2 Cd 2.53-2.68
S 0.8721 0.4127 0.0865  2 Cd 2.53-2.68
S 0.8721 0.9594 0.7856  2 Cd 2.53-2.68
S 0.9127 0.0406 0.3262  2 Cd 2.53-2.68
S 0.9127 0.3721 0.5865  2 Cd 2.53-2.68
S 0.9135 0.1279 0.5873  2 Cd 2.53-2.68
S 0.9135 0.2856 0.3262  2 Cd 2.53-2.68
S 0.9594 0.6738 0.0873  2 Cd 2.53-2.68
S 0.9594 0.7856 0.8721  2 Cd 2.53-2.68

The value obtained for the size of the total moment is 0.00 μB per cell. The calculation puts the total energy at -334.6 eV per cell. Its formation energy without anion corrections is -1660.9 kJ/mol of formula units. The symmetry is Ia-3d. Its density of states at the Fermi level is 84.5 states/eV/cell. As for the density: 5.06 g/cm³.